1.
Material: SmTh4Sb5
Method: DFT, PBE
State: optimized geometry

Cell: 16.2232 16.2232 16.2232 Å, 164.06 164.06 22.62°
Positions (direct):
Sm  0.0000  0.0000  0.0000
Th  0.2000  0.2000  0.0000
Th  0.4003  0.4003  0.0000
Th  0.5997  0.5997  0.0000
Th  0.8000  0.8000  0.0000
Sb  0.0992  0.0992  0.0000
Sb  0.3002  0.3002  0.0000
Sb  0.5000  0.5000  0.0000
Sb  0.6998  0.6998  0.0000
Sb  0.9008  0.9008  0.0000

Values from the calculation:
* raw total energy: -6.47 eV per atom
* crystal system: tetragonal
* size of the total moment: 0.0004 μB/atom

2.
Material: CsNbPtSe3
Method: DFT, PBE
State: optimized geometry

Cell: 8.9775 3.8137 10.1574 Å, 90.00 113.67 90.00°
Positions (direct):
Cs  0.0134  0.2500  0.2767
Cs  0.9866  0.7500  0.7233
Nb  0.4639  0.2500  0.1739
Nb  0.5361  0.7500  0.8261
Pt  0.4612  0.7500  0.3781
Pt  0.5388  0.2500  0.6219
Se  0.2448  0.7500  0.1310
Se  0.3238  0.7500  0.5670
Se  0.3498  0.2500  0.8801
Se  0.6502  0.7500  0.1199
Se  0.6762  0.2500  0.4330
Se  0.7552  0.2500  0.8690

Values from the calculation:
* raw total energy: -5.37 eV per atom
* crystal system: monoclinic
* size of the total moment: 0.0004 μB/atom

3.
Material: GaReGe
Method: DFT, PBE
State: optimized geometry

Cell: 4.2354 4.2354 4.2354 Å, 60.00 60.00 60.00°
Positions (direct):
Ga  0.0000  0.0000  0.0000
Re  0.2500  0.2500  0.2500
Ge  0.5000  0.5000  0.5000

Values from the calculation:
* raw total energy: -6.26 eV per atom
* crystal system: cubic
* size of the total moment: 0.0003 μB/atom